No. 1
DFT (GGA-PBE) results for a geometry-optimized Bi5P2Pd12 structure.

Values from the calculation:
Calculated formation energy in kJ/mol of atoms: -22.3
Total DFT energy (no corrections) in eV/atom: -5.101
ρ in g/cm³: 10.86
DOS(E_F) in states/eV/f.u.: 9.5

Lattice parameters (Å, degrees): 17.9706 5.9974 7.2907 90.00 111.87 90.00
Closest atoms and distances in Å follow each position.
Space group C2/m (No. 12)
Asymmetric unit:
1 Bi 0.0000 0.0000 0.0000 (multiplicity 2)  6 Pd 2.82-2.88
2 Bi 0.2066 0.5000 0.8296 (multiplicity 4)  6 Pd 2.84-3.07
3 Bi 0.2423 0.5000 0.3650 (multiplicity 4)  6 Pd 2.76-2.87
4 P 0.0000 0.3008 0.5000 (multiplicity 4)  6 Pd 2.37-2.45, 1 P 2.39
5 Pd 0.0131 0.5000 0.8035 (multiplicity 4)  2 P 2.45
6 Pd 0.0693 0.0000 0.7023 (multiplicity 4)  2 P 2.37
7 Pd 0.1196 0.2542 0.4391 (multiplicity 8)  1 P 2.37
8 Pd 0.1413 0.2434 0.0602 (multiplicity 8)  4 Bi 2.76-2.94, 5 Pd 2.82-3.08

=====

No. 2
DFT (GGA-PBE) results for a geometry-optimized Bi2PPd2 structure.

Values from the calculation:
Calculated formation energy in kJ/mol of atoms: -8.3
Total DFT energy (no corrections) in eV/atom: -4.798
ρ in g/cm³: 9.94
DOS(E_F) in states/eV/f.u.: 2.7

Lattice parameters (Å, degrees): 6.4095 6.4095 5.3842 90.00 90.00 90.00
Closest atoms and distances in Å follow each position.
Space group P4/mbm (No. 127)
Asymmetric unit:
1 Bi 0.1918 0.3082 0.0000 (multiplicity 4)  2 Pd 2.94, 4 Bi 3.29
2 P 0.0000 0.0000 0.5000 (multiplicity 2)  4 Pd 2.36
3 Pd 0.1773 0.6773 0.5000 (multiplicity 4)  2 P 2.36

=====

No. 3
DFT (GGA-PBE) results for a geometry-optimized BiPPd4 structure.

Values from the calculation:
Calculated formation energy in kJ/mol of atoms: -30.9
Total DFT energy (no corrections) in eV/atom: -5.331
ρ in g/cm³: 10.26
DOS(E_F) in states/eV/f.u.: 2.8

Lattice parameters (Å, degrees): 5.4766 6.1079 7.1604 64.88 84.03 89.97
Closest atoms and distances in Å follow each position.
Space group P-1 (No. 2)
Asymmetric unit:
1 Bi 0.2498 0.1624 0.0000 (multiplicity 2)  8 Pd 2.84-3.05
2 P 0.0000 0.5000 0.5000 (multiplicity 1)  6 Pd 2.28-2.36
3 P 0.5000 0.0000 0.5000 (multiplicity 1)  6 Pd 2.29-2.35
4 Pd 0.0992 0.4679 0.1951 (multiplicity 2)  1 P 2.28
5 Pd 0.1206 0.0971 0.6230 (multiplicity 2)  2 P 2.35-2.36
6 Pd 0.3795 0.7198 0.3770 (multiplicity 2)  2 P 2.35
7 Pd 0.4008 0.6630 0.8045 (multiplicity 2)  1 P 2.29

=====

No. 4
DFT (GGA-PBE) results for a geometry-optimized BiP4Pd12 structure.

Values from the calculation:
Calculated formation energy in kJ/mol of atoms: -28.7
Total DFT energy (no corrections) in eV/atom: -5.465
ρ in g/cm³: 9.16
DOS(E_F) in states/eV/f.u.: 4.1

Lattice parameters (Å, degrees): 8.3576 8.3576 8.3576 90.00 90.00 90.00
Closest atoms and distances in Å follow each position.
Space group Im-3 (No. 204)
Asymmetric unit:
1 Bi 0.0000 0.0000 0.0000 (multiplicity 2)  12 Pd 3.14
2 P 0.2500 0.2500 0.2500 (multiplicity 8)  6 Pd 2.30
3 Pd 0.0000 0.3350 0.1712 (multiplicity 24)  2 P 2.30

=====

No. 5
DFT (GGA-PBE) results for a geometry-optimized Bi2PPd6 structure.

Values from the calculation:
Calculated formation energy in kJ/mol of atoms: -27.1
Total DFT energy (no corrections) in eV/atom: -5.207
ρ in g/cm³: 10.45
DOS(E_F) in states/eV/f.u.: 3.6

Lattice parameters (Å, degrees): 3.8499 7.3479 12.2169 90.00 90.00 90.00
Closest atoms and distances in Å follow each position.
Space group Immm (No. 71)
Asymmetric unit:
1 Bi 0.0000 0.0000 0.1464 (multiplicity 4)  8 Pd 2.77-2.91
2 P 0.0000 0.0000 0.5000 (multiplicity 2)  8 Pd 2.39-2.50
3 Pd 0.0000 0.2051 0.3371 (multiplicity 8)  1 P 2.50, 2 Pd 2.77, 1 Bi 2.77
4 Pd 0.0000 0.3081 0.0000 (multiplicity 4)  2 P 2.39

=====

No. 6
DFT (GGA-PBE) results for a geometry-optimized Bi2P2Pd structure.

Values from the calculation:
Calculated formation energy in kJ/mol of atoms: 21.5
Total DFT energy (no corrections) in eV/atom: -4.532
ρ in g/cm³: 8.69
DOS(E_F) in states/eV/f.u.: 1.8

Lattice parameters (Å, degrees): 7.4215 7.4215 4.0697 90.00 90.00 90.00
Closest atoms and distances in Å follow each position.
Space group P4/mbm (No. 127)
Asymmetric unit:
1 Bi 0.1622 0.3378 0.0000 (multiplicity 4)  2 P 2.68
2 P 0.1712 0.6712 0.5000 (multiplicity 4)  2 Bi 2.68, 2 Pd 2.75
3 Pd 0.0000 0.0000 0.5000 (multiplicity 2)  4 P 2.75

=====

No. 7
DFT (GGA-PBE) results for a geometry-optimized Bi2PPd6 structure.

Values from the calculation:
Calculated formation energy in kJ/mol of atoms: -32.9
Total DFT energy (no corrections) in eV/atom: -5.266
ρ in g/cm³: 11.04
DOS(E_F) in states/eV/f.u.: 2.0

Lattice parameters (Å, degrees): 8.6812 8.6812 8.6812 90.00 90.00 90.00
Closest atoms and distances in Å follow each position.
Space group Fm-3m (No. 225)
Asymmetric unit:
1 Bi 0.2500 0.2500 0.2500 (multiplicity 8)  12 Pd 3.07
2 P 0.0000 0.0000 0.0000 (multiplicity 4)  6 Pd 2.29
3 Pd 0.0000 0.0000 0.2643 (multiplicity 24)  1 P 2.29

=====

No. 8
DFT (GGA-PBE) results for a geometry-optimized Bi2PPd8 structure.

Values from the calculation:
Calculated formation energy in kJ/mol of atoms: -28.6
Total DFT energy (no corrections) in eV/atom: -5.271
ρ in g/cm³: 11.32
DOS(E_F) in states/eV/f.u.: 5.2

Lattice parameters (Å, degrees): 15.2253 4.6109 5.8908 90.00 112.66 90.00
Closest atoms and distances in Å follow each position.
Space group C2/m (No. 12)
Asymmetric unit:
1 Bi 0.1801 0.0000 0.1801 (multiplicity 4)  12 Pd 2.84-3.15
2 P 0.0000 0.5000 0.5000 (multiplicity 2)  4 Pd 2.28
3 Pd 0.0003 0.0000 0.2682 (multiplicity 4)  2 P 2.68, 5 Pd 2.73-2.89, 2 Bi 2.98-2.99
4 Pd 0.1224 0.5000 0.8767 (multiplicity 4)  1 P 2.28
5 Pd 0.1234 0.5000 0.3709 (multiplicity 4)  1 P 2.28
6 Pd 0.1951 0.0000 0.6961 (multiplicity 4)  4 Bi 2.90-2.96, 8 Pd 2.93-3.06

=====

No. 9
DFT (GGA-PBE) results for a geometry-optimized Bi3PPd structure.

Values from the calculation:
Calculated formation energy in kJ/mol of atoms: 60.9
Total DFT energy (no corrections) in eV/atom: -3.818
ρ in g/cm³: 8.35
DOS(E_F) in states/eV/f.u.: 4.8

Lattice parameters (Å, degrees): 5.3364 5.3364 5.3364 90.00 90.00 90.00
Closest atoms and distances in Å follow each position.
Space group Pm-3m (No. 221)
Asymmetric unit:
1 Bi 0.0000 0.0000 0.5000 (multiplicity 3)  2 Pd 2.67
2 P 0.5000 0.5000 0.5000 (multiplicity 1)  12 Bi 3.77
3 Pd 0.0000 0.0000 0.0000 (multiplicity 1)  6 Bi 2.67

=====

No. 10
DFT (GGA-PBE) results for a geometry-optimized BiPPd5 structure.

Values from the calculation:
Calculated formation energy in kJ/mol of atoms: -17.8
Total DFT energy (no corrections) in eV/atom: -5.221
ρ in g/cm³: 9.82
DOS(E_F) in states/eV/f.u.: 4.0

Lattice parameters (Å, degrees): 10.7031 7.7457 7.2512 90.00 119.71 90.00
Closest atoms and distances in Å follow each position.
Space group C2/c (No. 15)
Asymmetric unit:
1 Bi 0.0000 0.1716 0.2500 (multiplicity 4)  7 Pd 2.76-2.95
2 P 0.2500 0.2500 0.0000 (multiplicity 4)  6 Pd 2.28-2.43
3 Pd 0.0000 0.1841 0.7500 (multiplicity 4)  2 P 2.43
4 Pd 0.1147 0.4943 0.9610 (multiplicity 8)  1 P 2.31
5 Pd 0.2334 0.2045 0.6773 (multiplicity 8)  1 P 2.28

=====

No. 11
DFT (GGA-PBE) results for a geometry-optimized BiPPd4 structure.

Values from the calculation:
Calculated formation energy in kJ/mol of atoms: -33.4
Total DFT energy (no corrections) in eV/atom: -5.356
ρ in g/cm³: 10.53
DOS(E_F) in states/eV/f.u.: 2.7

Lattice parameters (Å, degrees): 4.5196 6.2598 7.5207 90.00 99.44 90.00
Closest atoms and distances in Å follow each position.
Space group P2_1/m (No. 11)
Asymmetric unit:
1 Bi 0.2352 0.2500 0.4350 (multiplicity 2)  9 Pd 2.85-3.15
2 P 0.3882 0.7500 0.0495 (multiplicity 2)  7 Pd 2.32-2.43
3 Pd 0.1259 0.2500 0.0505 (multiplicity 2)  2 P 2.32-2.43
4 Pd 0.1999 0.7500 0.3222 (multiplicity 2)  1 P 2.35
5 Pd 0.3312 0.5226 0.7837 (multiplicity 4)  2 P 2.36-2.43

=====

No. 12
DFT (GGA-PBE) results for a geometry-optimized Bi3PPd structure.

Values from the calculation:
Calculated formation energy in kJ/mol of atoms: 65.6
Total DFT energy (no corrections) in eV/atom: -3.769
ρ in g/cm³: 8.34
DOS(E_F) in states/eV/f.u.: 1.1

Lattice parameters (Å, degrees): 5.3393 5.3393 5.3393 90.00 90.00 90.00
Closest atoms and distances in Å follow each position.
Space group Pm-3m (No. 221)
Asymmetric unit:
1 Bi 0.0000 0.0000 0.5000 (multiplicity 3)  2 P 2.67
2 P 0.0000 0.0000 0.0000 (multiplicity 1)  6 Bi 2.67
3 Pd 0.5000 0.5000 0.5000 (multiplicity 1)  12 Bi 3.78